a) Computed, not measured: a relaxed Cs2ZnCd2 crystal at the PBE level of DFT.

Lattice parameters (Å, degrees): 4.3399 4.3399 23.2578 90.00 90.00 90.00
Space group I4/mmm (No. 139)
Asymmetric unit:
Cs: 0.0000 0.0000 0.1045
Zn: 0.0000 0.0000 0.5000
Cd: 0.0000 0.5000 0.2500

## Properties
* N(E_F): 0.329 states/eV per atom
* volume: 438.1 Å³ per cell
* crystal system: tetragonal

***

b) Computed, not measured: a relaxed Cs2ZnCd2 crystal at the PBE level of DFT.

Lattice parameters (Å, degrees): 4.8856 4.8856 35.0507 90.00 90.00 120.00
Space group R-3m (No. 166, hexagonal axes)
Asymmetric unit:
Cs: 0.0000 0.0000 0.0712
Zn: 0.0000 0.0000 0.5000
Cd: 0.0000 0.0000 0.1816

## Properties
* N(E_F): 0.473 states/eV per atom
* volume: 724.5 Å³ per cell
* crystal system: trigonal

***

Ranking the structures above by energy, b) is first and the second is 0.126 eV/atom behind.